1.
DFT (GGA-PBEsol) results for a relaxed CuCl2 crystal.

Output
Raw formation energy (kJ/mol of atoms): -44.04
Uncorrected energy (eV for the cell shown): -19.44

Structure (CIF):
```
data_CuCl2
_chemical_formula_sum 'Cu2 Cl4'
_space_group_name_H-M_alt 'P 1'
_space_group_IT_number 1
_cell_length_a 6.5719
_cell_length_b 6.5719
_cell_length_c 8.7741
_cell_angle_alpha 130.73
_cell_angle_beta 130.73
_cell_angle_gamma 28.66
loop_
_space_group_symop_operation_xyz
'x,y,z'
loop_
_atom_site_label
_atom_site_fract_x
_atom_site_fract_y
_atom_site_fract_z
Cu1 0.2068 0.2068 0.2747
Cu2 0.7932 0.7932 0.7253
Cl1 0.1912 0.1912 0.7609
Cl2 0.4134 0.4134 0.7184
Cl3 0.5866 0.5866 0.2816
Cl4 0.8088 0.8088 0.2391
```

***

2.
DFT (GGA-PBEsol) results for a relaxed Sc4Hg crystal.

Output
Uncorrected energy (eV for the cell shown): -27.77

Structure (CIF):
```
data_Sc4Hg
_chemical_formula_sum 'Sc4 Hg1'
_space_group_name_H-M_alt 'P 1'
_space_group_IT_number 1
_cell_length_a 5.4239
_cell_length_b 5.4239
_cell_length_c 5.4239
_cell_angle_alpha 100.08
_cell_angle_beta 100.08
_cell_angle_gamma 130.55
loop_
_space_group_symop_operation_xyz
'x,y,z'
loop_
_atom_site_label
_atom_site_fract_x
_atom_site_fract_y
_atom_site_fract_z
Sc1 0.1133 0.3091 0.4224
Sc2 0.3091 0.8867 0.1958
Sc3 0.6909 0.1133 0.8042
Sc4 0.8867 0.6909 0.5776
Hg1 0.5000 0.5000 0.0000
```

***

3.
DFT (GGA-PBEsol) results for a relaxed MgSb2Pt crystal.

Output
Raw formation energy (kJ/mol of atoms): -10.43
Uncorrected energy (eV for the cell shown): -18.23

Structure (CIF):
```
data_MgSb2Pt
_chemical_formula_sum 'Mg1 Sb2 Pt1'
_space_group_name_H-M_alt 'P 1'
_space_group_IT_number 1
_cell_length_a 3.3133
_cell_length_b 3.3133
_cell_length_c 7.8413
_cell_angle_alpha 90.00
_cell_angle_beta 90.00
_cell_angle_gamma 94.30
loop_
_space_group_symop_operation_xyz
'x,y,z'
loop_
_atom_site_label
_atom_site_fract_x
_atom_site_fract_y
_atom_site_fract_z
Mg1 0.0000 0.0000 0.0000
Sb1 0.5000 0.5000 0.2808
Sb2 0.5000 0.5000 0.7192
Pt1 0.0000 0.0000 0.5000
```

***

Q: Which of these has the lowest uncorrected energy?
A: Sc4Hg